Entry 1:
First-principles (PBE) data for a relaxed structure of SrMnPbCl6, as listed in the Alexandria database.

## Properties
As for the space group: P-31c. As for the raw total energy: -79.20 eV for the cell shown. As for the calculated density: 3.53 g/cm³. The formation energy without anion corrections is -1551 meV/atom. The value obtained for the density of states at the Fermi level is 0.000 states/eV/cell.

POSCAR file:
```
SrMnPbCl6
1.0
7.022 0.000 0.000
-3.511 6.081 0.000
0.000 0.000 12.378
Cl Mn Pb Sr
12 2 2 2
Direct
0.368 0.329 0.369
0.961 0.632 0.369
0.039 0.368 0.631
0.961 0.329 0.131
0.329 0.961 0.631
0.671 0.039 0.369
0.039 0.671 0.869
0.368 0.039 0.131
0.329 0.368 0.869
0.671 0.632 0.131
0.632 0.671 0.631
0.632 0.961 0.869
0.333 0.667 0.750
0.667 0.333 0.250
0.000 0.000 0.500
0.000 0.000 0.000
0.667 0.333 0.750
0.333 0.667 0.250
```

Entry 2:
First-principles (PBE) data for a relaxed structure of SrMnPb2Cl8, as listed in the Alexandria database.

## Properties
As for the space group: P2/m. As for the raw total energy: -50.36 eV for the cell shown. As for the calculated density: 3.79 g/cm³. The formation energy without anion corrections is -1443 meV/atom. The value obtained for the density of states at the Fermi level is 0.000 states/eV/cell.

POSCAR file:
```
SrMnPb2Cl8
1.0
-1.321 5.523 -3.504
0.321 -3.354 -5.520
-8.348 -1.664 0.524
Cl Sr Mn Pb
8 1 1 2
Direct
0.156 0.786 0.779
0.844 0.214 0.779
0.156 0.786 0.221
0.341 0.271 0.500
0.694 0.757 0.000
0.844 0.214 0.221
0.659 0.729 0.500
0.306 0.243 0.000
0.000 0.000 0.500
0.000 0.000 0.000
0.500 0.500 0.235
0.500 0.500 0.765
```

raw total energy of number 2 (SrMnPb2Cl8)? -50.36 eV for the cell shown